[1]
The following is a DFT calculation (PBE) of an optimized crystal structure of Mg2CoIr. Values from VASP.

ρ	8.4	g/cm3
energy above the lowest structure with this stoichiometry	0.028	eV/atom
ΔE_f	-0.0675	eV/atom
symmetry	F-43m
calculated total energy	-4.86	eV/atom
crystal system	cubic

Cell and atoms, written as Quantum ESPRESSO input:
```
&SYSTEM
  ibrav = 0, nat = 16, ntyp = 3
/
ATOMIC_SPECIES
Mg 24.30 Mg.upf
Co 58.93 Co.upf
Ir 192.22 Ir.upf
CELL_PARAMETERS angstrom
6.200 0.000 0.000
0.000 6.200 0.000
0.000 0.000 6.200
ATOMIC_POSITIONS crystal
Mg 0.000 0.000 0.000
Mg 0.000 0.500 0.500
Mg 0.250 0.250 0.250
Mg 0.250 0.750 0.750
Mg 0.500 0.000 0.500
Mg 0.500 0.500 0.000
Mg 0.750 0.250 0.750
Mg 0.750 0.750 0.250
Co 0.250 0.250 0.750
Co 0.250 0.750 0.250
Co 0.750 0.250 0.250
Co 0.750 0.750 0.750
Ir 0.000 0.000 0.500
Ir 0.000 0.500 0.000
Ir 0.500 0.000 0.000
Ir 0.500 0.500 0.500
```

=====

[2]
The following is a DFT calculation (PBE) of an optimized crystal structure of Na2P3Pd9. Values from VASP.

ρ	8.3	g/cm3
ΔE_f	-0.4384	eV/atom
symmetry	C2/c
calculated total energy	-5.12	eV/atom
crystal system	monoclinic

Cell and atoms, written as Quantum ESPRESSO input:
```
&SYSTEM
  ibrav = 0, nat = 28, ntyp = 3
/
ATOMIC_SPECIES
Na 22.99 Na.upf
P 30.97 P.upf
Pd 106.42 Pd.upf
CELL_PARAMETERS angstrom
6.759 -3.609 0.000
6.759 3.609 0.000
-4.372 0.000 9.047
ATOMIC_POSITIONS crystal
Na 0.085 0.273 0.243
Na 0.273 0.085 0.743
Na 0.727 0.915 0.257
Na 0.915 0.727 0.757
P 0.000 0.500 0.000
P 0.173 0.632 0.494
P 0.368 0.827 0.006
P 0.500 0.000 0.500
P 0.632 0.173 0.994
P 0.827 0.368 0.506
Pd 0.026 0.074 0.907
Pd 0.074 0.026 0.407
Pd 0.186 0.595 0.253
Pd 0.188 0.343 0.556
Pd 0.297 0.530 0.984
Pd 0.343 0.188 0.056
Pd 0.355 0.645 0.750
Pd 0.405 0.814 0.247
Pd 0.470 0.703 0.516
Pd 0.530 0.297 0.484
Pd 0.595 0.186 0.753
Pd 0.645 0.355 0.250
Pd 0.657 0.812 0.944
Pd 0.703 0.470 0.016
Pd 0.812 0.657 0.444
Pd 0.814 0.405 0.747
Pd 0.926 0.974 0.593
Pd 0.974 0.926 0.093
```

=====

[3]
The following is a DFT calculation (PBE) of an optimized crystal structure of Ac2In3Ag2. Values from VASP.

ρ	8.6	g/cm3
energy above the lowest structure with this stoichiometry	0.000	eV/atom
ΔE_f	-0.3517	eV/atom
symmetry	C2/m
calculated total energy	-3.51	eV/atom
crystal system	monoclinic

Cell and atoms, written as Quantum ESPRESSO input:
```
&SYSTEM
  ibrav = 0, nat = 14, ntyp = 3
/
ATOMIC_SPECIES
Ac 227.00 Ac.upf
In 114.82 In.upf
Ag 107.87 Ag.upf
CELL_PARAMETERS angstrom
11.462 0.000 0.000
0.000 4.899 0.000
-2.726 0.000 6.952
ATOMIC_POSITIONS crystal
Ac 0.152 0.000 0.279
Ac 0.348 0.500 0.721
Ac 0.652 0.500 0.279
Ac 0.848 0.000 0.721
In 0.000 0.500 0.500
In 0.106 0.500 0.932
In 0.394 0.000 0.068
In 0.500 0.000 0.500
In 0.606 0.000 0.932
In 0.894 0.500 0.068
Ag 0.148 0.000 0.744
Ag 0.352 0.500 0.256
Ag 0.648 0.500 0.744
Ag 0.852 0.000 0.256
```

=====

[4]
The following is a DFT calculation (PBE) of an optimized crystal structure of MgFeCu2Au. Values from VASP.

ρ	6.0	g/cm3
ΔE_f	0.9371	eV/atom
symmetry	P4/mmm
calculated total energy	-3.37	eV/atom
crystal system	tetragonal

Cell and atoms, written as Quantum ESPRESSO input:
```
&SYSTEM
  ibrav = 0, nat = 5, ntyp = 4
/
ATOMIC_SPECIES
Mg 24.30 Mg.upf
Fe 55.84 Fe.upf
Cu 63.55 Cu.upf
Au 196.97 Au.upf
CELL_PARAMETERS angstrom
4.769 0.000 0.000
0.000 4.769 0.000
0.000 0.000 4.879
ATOMIC_POSITIONS crystal
Mg 0.000 0.000 0.000
Fe 0.500 0.500 0.000
Cu 0.000 0.500 0.500
Cu 0.500 0.000 0.500
Au 0.000 0.000 0.500
```

=====

[5]
The following is a DFT calculation (PBE) of an optimized crystal structure of LaReSn2. Values from VASP.

ρ	8.0	g/cm3
energy above the lowest structure with this stoichiometry	0.328	eV/atom
ΔE_f	0.4014	eV/atom
symmetry	I-42d
calculated total energy	-5.94	eV/atom
crystal system	tetragonal

Cell and atoms, written as Quantum ESPRESSO input:
```
&SYSTEM
  ibrav = 0, nat = 16, ntyp = 3
/
ATOMIC_SPECIES
La 138.91 La.upf
Re 186.21 Re.upf
Sn 118.71 Sn.upf
CELL_PARAMETERS angstrom
5.073 0.000 0.000
0.000 5.073 0.000
0.000 0.000 18.249
ATOMIC_POSITIONS crystal
La 0.000 0.000 0.000
La 0.000 0.500 0.250
La 0.500 0.000 0.750
La 0.500 0.500 0.500
Re 0.000 0.000 0.500
Re 0.000 0.500 0.750
Re 0.500 0.000 0.250
Re 0.500 0.500 0.000
Sn 0.123 0.250 0.625
Sn 0.250 0.623 0.875
Sn 0.250 0.877 0.375
Sn 0.377 0.250 0.125
Sn 0.623 0.750 0.125
Sn 0.750 0.123 0.375
Sn 0.750 0.377 0.875
Sn 0.877 0.750 0.625
```

=====

[6]
The following is a DFT calculation (PBE) of an optimized crystal structure of AgAsRu3. Values from VASP.

ρ	8.6	g/cm3
energy above the lowest structure with this stoichiometry	0.000	eV/atom
ΔE_f	0.9820	eV/atom
symmetry	Pm-3m
calculated total energy	-6.08	eV/atom
crystal system	cubic

Cell and atoms, written as Quantum ESPRESSO input:
```
&SYSTEM
  ibrav = 0, nat = 5, ntyp = 3
/
ATOMIC_SPECIES
Ag 107.87 Ag.upf
As 74.92 As.upf
Ru 101.07 Ru.upf
CELL_PARAMETERS angstrom
4.541 0.000 0.000
0.000 4.541 0.000
0.000 0.000 4.541
ATOMIC_POSITIONS crystal
Ag 0.000 0.000 0.000
As 0.500 0.500 0.500
Ru 0.000 0.500 0.500
Ru 0.500 0.000 0.500
Ru 0.500 0.500 0.000
```